No. 1
This record from Alexandria via LeMat-Bulk describes an optimized crystal structure of KAc2CrO5. The functional is GGA+U.

The structure in CIF format:
```
data_KAc2CrO5
_space_group_name_H-M_alt 'P 4/m b m'
_space_group_IT_number 127
_space_group_name_Hall '-P 4 2ab'
_cell_length_a 7.1880
_cell_length_b 7.1880
_cell_length_c 5.9508
_cell_angle_alpha 90.00
_cell_angle_beta 90.00
_cell_angle_gamma 90.00
loop_
_atom_site_label
_atom_site_type_symbol
_atom_site_fract_x
_atom_site_fract_y
_atom_site_fract_z
K1 K 0.0000 0.0000 0.0000
Ac1 Ac 0.1819 0.3182 0.5000
Cr1 Cr 0.0000 0.5000 0.0000
O1 O 0.0000 0.0000 0.5000
O2 O 0.1290 0.6290 0.2364
```


No. 2
# KAcCrO4 | Alexandria via LeMat-Bulk | GGA+U | relaxed
data_KAcCrO4
_space_group_name_H-M_alt 'P 1 21/m 1'
_space_group_IT_number 11
_cell_length_a 6.3906
_cell_length_b 5.9033
_cell_length_c 7.7637
_cell_angle_alpha 90.00
_cell_angle_beta 95.55
_cell_angle_gamma 90.00
loop_
_space_group_symop_operation_xyz
'x,y,z'
'-x,-y,-z'
'-x,y+1/2,-z'
'x,-y+1/2,z'
loop_
_atom_site_label
_atom_site_type_symbol
_atom_site_fract_x
_atom_site_fract_y
_atom_site_fract_z
K1 K 0.1278 0.2500 0.3757
Ac1 Ac 0.2905 0.2500 0.9279
Cr1 Cr 0.2158 0.7500 0.1648
O1 O 0.0139 0.7500 0.3095
O2 O 0.0804 0.7500 0.9518
O3 O 0.3991 0.5147 0.1713
# D(E_F)   0.0 states/eV per cell


No. 3
This record from Alexandria via LeMat-Bulk describes an optimized crystal structure of K4Ac3CrO8. The functional is GGA+U.

The structure in CIF format:
```
data_K4Ac3CrO8
_space_group_name_H-M_alt 'C 1 2/m 1'
_space_group_IT_number 12
_cell_length_a 13.5467
_cell_length_b 7.2087
_cell_length_c 7.4439
_cell_angle_alpha 90.00
_cell_angle_beta 120.16
_cell_angle_gamma 90.00
loop_
_space_group_symop_operation_xyz
'x,y,z'
'-x,-y,-z'
'-x,y,-z'
'x,-y,z'
'x+1/2,y+1/2,z'
'-x+1/2,-y+1/2,-z'
'-x+1/2,y+1/2,-z'
'x+1/2,-y+1/2,z'
loop_
_atom_site_label
_atom_site_type_symbol
_atom_site_fract_x
_atom_site_fract_y
_atom_site_fract_z
K1 K 0.0000 0.0000 0.0000
K2 K 0.0000 0.5000 0.0000
K3 K 0.2500 0.2500 0.0000
Ac1 Ac 0.0000 0.0000 0.5000
Ac2 Ac 0.2500 0.2500 0.5000
Cr1 Cr 0.0000 0.5000 0.5000
O1 O 0.0269 0.2981 0.3436
O2 O 0.2142 0.0000 0.2516
O3 O 0.2150 0.0000 0.6961
```


| no. | total DFT energy (no corrections) (eV/atom) |
| --- | --- |
| 1 | -7.131 |
| 2 | -6.899 |
| 3 | -6.226 |